Entry 1:
# PBE Sr3Dy2UN6, optimized geometry
# - raw formation energy (meV/atom) = -1299
# - density (g/cm³) = 7.675
# - raw total energy (eV per atom) = -7.590
data_Sr3Dy2UN6
_cell_length_a 6.1508
_cell_length_b 10.6523
_cell_length_c 6.3502
_cell_angle_alpha 90.00
_cell_angle_beta 108.86
_cell_angle_gamma 90.00
_symmetry_space_group_name_H-M 'C 1 2/m 1'
_symmetry_Int_Tables_number 12
loop_
_symmetry_equiv_pos_as_xyz
'x,y,z'
'-x,-y,-z'
'-x,y,-z'
'x,-y,z'
'x+1/2,y+1/2,z'
'-x+1/2,-y+1/2,-z'
'-x+1/2,y+1/2,-z'
'x+1/2,-y+1/2,z'
loop_
_atom_site_label
_atom_site_fract_x
_atom_site_fract_y
_atom_site_fract_z
Sr1 0.0000 0.0000 0.0000
Sr2 0.0000 0.3320 0.0000
Dy1 0.0000 0.1666 0.5000
U1 0.0000 0.5000 0.5000
N1 0.2223 0.3458 0.7048
N2 0.2389 0.5000 0.2964


Entry 2:
# PBE SrDy2VN4, optimized geometry
# - raw formation energy (meV/atom) = -1326
# - density (g/cm³) = 7.110
# - raw total energy (eV per atom) = -7.989
data_SrDy2VN4
_cell_length_a 3.4377
_cell_length_b 11.9685
_cell_length_c 11.7971
_cell_angle_alpha 90.00
_cell_angle_beta 90.00
_cell_angle_gamma 90.00
_symmetry_space_group_name_H-M 'C m c m'
_symmetry_Int_Tables_number 63
_symmetry_space_group_name_Hall '-C 2c 2'
loop_
_atom_site_label
_atom_site_fract_x
_atom_site_fract_y
_atom_site_fract_z
Sr1 0.0000 0.0922 0.2500
Dy1 0.0000 0.3707 0.0410
V1 0.0000 0.1752 0.7500
N1 0.0000 0.0000 0.0000
N2 0.0000 0.2595 0.6230
N3 0.0000 0.4056 0.2500


Entry 3:
# PBE SrDy2WN4, optimized geometry
# - raw formation energy (meV/atom) = -1069
# - density (g/cm³) = 8.534
# - raw total energy (eV per atom) = -8.211
data_SrDy2WN4
_cell_length_a 3.4144
_cell_length_b 12.2158
_cell_length_c 12.1754
_cell_angle_alpha 90.00
_cell_angle_beta 90.00
_cell_angle_gamma 90.00
_symmetry_space_group_name_H-M 'C m c m'
_symmetry_Int_Tables_number 63
_symmetry_space_group_name_Hall '-C 2c 2'
loop_
_atom_site_label
_atom_site_fract_x
_atom_site_fract_y
_atom_site_fract_z
Sr1 0.0000 0.0792 0.2500
Dy1 0.0000 0.3719 0.0377
W1 0.0000 0.1822 0.7500
N1 0.0000 0.0000 0.0000
N2 0.0000 0.2612 0.6163
N3 0.0000 0.4127 0.2500


Entry 4:
# PBE SrDyZrN3, optimized geometry
# - raw formation energy (meV/atom) = -1272
# - density (g/cm³) = 6.878
# - raw total energy (eV per atom) = -7.906
data_SrDyZrN3
_cell_length_a 5.9028
_cell_length_b 3.5232
_cell_length_c 9.0883
_cell_angle_alpha 90.00
_cell_angle_beta 101.64
_cell_angle_gamma 90.00
_symmetry_space_group_name_H-M 'P 1 21/m 1'
_symmetry_Int_Tables_number 11
loop_
_symmetry_equiv_pos_as_xyz
'x,y,z'
'-x,-y,-z'
'-x,y+1/2,-z'
'x,-y+1/2,z'
loop_
_atom_site_label
_atom_site_fract_x
_atom_site_fract_y
_atom_site_fract_z
Sr1 0.1543 0.2500 0.1933
Dy1 0.3586 0.2500 0.8559
Zr1 0.2604 0.7500 0.5333
N1 0.0546 0.2500 0.6351
N2 0.2693 0.7500 0.9858
N3 0.4761 0.7500 0.3673


Entry 5:
# PBE DyTaN3, optimized geometry
# - raw formation energy (meV/atom) = -967
# - density (g/cm³) = 9.977
# - raw total energy (eV per atom) = -9.253
data_DyTaN3
_cell_length_a 6.3920
_cell_length_b 3.1616
_cell_length_c 6.4080
_cell_angle_alpha 90.00
_cell_angle_beta 97.75
_cell_angle_gamma 90.00
_symmetry_space_group_name_H-M 'P 1 21/m 1'
_symmetry_Int_Tables_number 11
loop_
_symmetry_equiv_pos_as_xyz
'x,y,z'
'-x,-y,-z'
'-x,y+1/2,-z'
'x,-y+1/2,z'
loop_
_atom_site_label
_atom_site_fract_x
_atom_site_fract_y
_atom_site_fract_z
Dy1 0.2329 0.2500 0.3468
Ta1 0.3168 0.2500 0.8390
N1 0.0326 0.2500 0.6978
N2 0.3205 0.7500 0.0679
N3 0.3728 0.7500 0.6329


Entry 6:
# PBE DyTa2N4, optimized geometry
# - raw formation energy (meV/atom) = -1346
# - density (g/cm³) = 11.622
# - raw total energy (eV per atom) = -10.147
data_DyTa2N4
_cell_length_a 3.1298
_cell_length_b 10.2140
_cell_length_c 10.3766
_cell_angle_alpha 90.00
_cell_angle_beta 90.00
_cell_angle_gamma 90.00
_symmetry_space_group_name_H-M 'C m c m'
_symmetry_Int_Tables_number 63
_symmetry_space_group_name_Hall '-C 2c 2'
loop_
_atom_site_label
_atom_site_fract_x
_atom_site_fract_y
_atom_site_fract_z
Dy1 0.0000 0.1167 0.2500
Ta1 0.0000 0.3710 0.0680
N1 0.0000 0.0000 0.0000
N2 0.0000 0.2682 0.6128
N3 0.0000 0.4436 0.2500


Entry 7:
# PBE DyTa4N8, optimized geometry
# - raw formation energy (meV/atom) = -883
# - density (g/cm³) = 9.496
# - raw total energy (eV per atom) = -10.008
data_DyTa4N8
_cell_length_a 14.6681
_cell_length_b 3.1689
_cell_length_c 9.7249
_cell_angle_alpha 90.00
_cell_angle_beta 129.43
_cell_angle_gamma 90.00
_symmetry_space_group_name_H-M 'C 1 m 1'
_symmetry_Int_Tables_number 8
loop_
_symmetry_equiv_pos_as_xyz
'x,y,z'
'x,-y,z'
'x+1/2,y+1/2,z'
'x+1/2,-y+1/2,z'
loop_
_atom_site_label
_atom_site_fract_x
_atom_site_fract_y
_atom_site_fract_z
Dy1 0.0000 0.0000 0.0000
Ta1 0.2678 0.5000 0.6019
Ta2 0.2686 0.0000 0.9657
Ta3 0.4794 0.0000 0.6510
Ta4 0.4832 0.5000 0.3213
N1 0.0050 0.5000 0.4683
N2 0.0931 0.0000 0.8311
N3 0.1681 0.0000 0.4602
N4 0.2812 0.5000 0.8329
N5 0.3048 0.5000 0.1309
N6 0.3645 0.5000 0.5199
N7 0.4049 0.0000 0.7787
N8 0.4742 0.0000 0.1523


Entry 8:
# PBE DyTaN2, optimized geometry
# - raw formation energy (meV/atom) = -950
# - density (g/cm³) = 11.078
# - raw total energy (eV per atom) = -9.226
data_DyTaN2
_cell_length_a 6.1488
_cell_length_b 3.0543
_cell_length_c 11.8588
_cell_angle_alpha 90.00
_cell_angle_beta 90.00
_cell_angle_gamma 90.00
_symmetry_space_group_name_H-M 'P n m a'
_symmetry_Int_Tables_number 62
loop_
_symmetry_equiv_pos_as_xyz
'x,y,z'
'-x,-y,-z'
'-x+1/2,-y,z+1/2'
'x+1/2,y,-z+1/2'
'x+1/2,-y+1/2,-z+1/2'
'-x+1/2,y+1/2,z+1/2'
'-x,y+1/2,-z'
'x,-y+1/2,z'
loop_
_atom_site_label
_atom_site_fract_x
_atom_site_fract_y
_atom_site_fract_z
Dy1 0.0002 0.2500 0.1343
Ta1 0.0143 0.2500 0.3991
N1 0.0273 0.2500 0.7204
N2 0.2413 0.7500 0.4715


Entry 9:
# PBE DyTaN2, optimized geometry
# - raw formation energy (meV/atom) = -1327
# - density (g/cm³) = 12.409
# - raw total energy (eV per atom) = -9.604
data_DyTaN2
_cell_length_a 3.1682
_cell_length_b 3.1682
_cell_length_c 17.1552
_cell_angle_alpha 90.00
_cell_angle_beta 90.00
_cell_angle_gamma 120.00
_symmetry_space_group_name_H-M 'R 3 m'
_symmetry_Int_Tables_number 160
_symmetry_space_group_name_Hall 'R 3 -2"'
loop_
_atom_site_label
_atom_site_fract_x
_atom_site_fract_y
_atom_site_fract_z
Dy1 0.0000 0.0000 0.0000
Ta1 0.0000 0.0000 0.8245
N1 0.0000 0.0000 0.4173
N2 0.0000 0.0000 0.5694


Entry 10:
# PBE DyTaN2, optimized geometry
# - raw formation energy (meV/atom) = -1454
# - density (g/cm³) = 12.168
# - raw total energy (eV per atom) = -9.730
data_DyTaN2
_cell_length_a 5.6760
_cell_length_b 3.2505
_cell_length_c 10.9906
_cell_angle_alpha 90.00
_cell_angle_beta 90.00
_cell_angle_gamma 90.00
_symmetry_space_group_name_H-M 'P n m a'
_symmetry_Int_Tables_number 62
loop_
_symmetry_equiv_pos_as_xyz
'x,y,z'
'-x,-y,-z'
'-x+1/2,-y,z+1/2'
'x+1/2,y,-z+1/2'
'x+1/2,-y+1/2,-z+1/2'
'-x+1/2,y+1/2,z+1/2'
'-x,y+1/2,-z'
'x,-y+1/2,z'
loop_
_atom_site_label
_atom_site_fract_x
_atom_site_fract_y
_atom_site_fract_z
Dy1 0.0889 0.2500 0.1364
Ta1 0.0830 0.7500 0.3873
N1 0.1605 0.2500 0.7563
N2 0.2427 0.2500 0.4953


Entry 11:
# PBE Tb2DyTaN4, optimized geometry
# - raw formation energy (meV/atom) = -1522
# - density (g/cm³) = 11.008
# - raw total energy (eV per atom) = -8.899
data_Tb2DyTaN4
_cell_length_a 5.8361
_cell_length_b 3.3558
_cell_length_c 5.8453
_cell_angle_alpha 90.00
_cell_angle_beta 109.05
_cell_angle_gamma 90.00
_symmetry_space_group_name_H-M 'P 1 2/m 1'
_symmetry_Int_Tables_number 10
loop_
_symmetry_equiv_pos_as_xyz
'x,y,z'
'-x,-y,-z'
'-x,y,-z'
'x,-y,z'
loop_
_atom_site_label
_atom_site_fract_x
_atom_site_fract_y
_atom_site_fract_z
Tb1 0.0000 0.0000 0.0000
Tb2 0.5000 0.5000 0.0000
Dy1 0.0000 0.5000 0.5000
Ta1 0.5000 0.0000 0.5000
N1 0.2659 0.0000 0.7315
N2 0.2737 0.5000 0.2750


Entry 12:
# PBE TbDyTaN3, optimized geometry
# - raw formation energy (meV/atom) = -1134
# - density (g/cm³) = 9.304
# - raw total energy (eV per atom) = -8.810
data_TbDyTaN3
_cell_length_a 7.2036
_cell_length_b 3.4131
_cell_length_c 7.9039
_cell_angle_alpha 90.00
_cell_angle_beta 90.68
_cell_angle_gamma 90.00
_symmetry_space_group_name_H-M 'P 1 21/m 1'
_symmetry_Int_Tables_number 11
loop_
_symmetry_equiv_pos_as_xyz
'x,y,z'
'-x,-y,-z'
'-x,y+1/2,-z'
'x,-y+1/2,z'
loop_
_atom_site_label
_atom_site_fract_x
_atom_site_fract_y
_atom_site_fract_z
Tb1 0.1455 0.2500 0.1525
Dy1 0.3949 0.7500 0.8441
Ta1 0.1249 0.2500 0.5811
N1 0.1258 0.2500 0.8388
N2 0.1799 0.7500 0.4544
N3 0.3781 0.7500 0.1225


Entry 13:
# PBE TbDy2TaN4, optimized geometry
# - raw formation energy (meV/atom) = -1526
# - density (g/cm³) = 11.111
# - raw total energy (eV per atom) = -8.900
data_TbDy2TaN4
_cell_length_a 5.8270
_cell_length_b 3.3524
_cell_length_c 5.8355
_cell_angle_alpha 90.00
_cell_angle_beta 109.07
_cell_angle_gamma 90.00
_symmetry_space_group_name_H-M 'P 1 2/m 1'
_symmetry_Int_Tables_number 10
loop_
_symmetry_equiv_pos_as_xyz
'x,y,z'
'-x,-y,-z'
'-x,y,-z'
'x,-y,z'
loop_
_atom_site_label
_atom_site_fract_x
_atom_site_fract_y
_atom_site_fract_z
Tb1 0.0000 0.0000 0.0000
Dy1 0.5000 0.0000 0.5000
Dy2 0.5000 0.5000 0.0000
Ta1 0.0000 0.5000 0.5000
N1 0.2278 0.0000 0.7265
N2 0.2349 0.5000 0.2677


Entry 14:
# PBE DyThTaN3, optimized geometry
# - raw formation energy (meV/atom) = -1112
# - density (g/cm³) = 10.317
# - raw total energy (eV per atom) = -9.254
data_DyThTaN3
_cell_length_a 7.3430
_cell_length_b 3.4604
_cell_length_c 7.8259
_cell_angle_alpha 90.00
_cell_angle_beta 91.60
_cell_angle_gamma 90.00
_symmetry_space_group_name_H-M 'P 1 21/m 1'
_symmetry_Int_Tables_number 11
loop_
_symmetry_equiv_pos_as_xyz
'x,y,z'
'-x,-y,-z'
'-x,y+1/2,-z'
'x,-y+1/2,z'
loop_
_atom_site_label
_atom_site_fract_x
_atom_site_fract_y
_atom_site_fract_z
Dy1 0.1337 0.2500 0.3592
Th1 0.3999 0.7500 0.6827
Ta1 0.1224 0.2500 0.9210
N1 0.1162 0.2500 0.6583
N2 0.1802 0.7500 0.0455
N3 0.3725 0.7500 0.3916


Entry 15:
# PBE Dy2ThTaN4, optimized geometry
# - raw formation energy (meV/atom) = -1418
# - density (g/cm³) = 11.643
# - raw total energy (eV per atom) = -9.141
data_Dy2ThTaN4
_cell_length_a 5.8912
_cell_length_b 3.3967
_cell_length_c 5.9773
_cell_angle_alpha 90.00
_cell_angle_beta 108.77
_cell_angle_gamma 90.00
_symmetry_space_group_name_H-M 'P 1 2/m 1'
_symmetry_Int_Tables_number 10
loop_
_symmetry_equiv_pos_as_xyz
'x,y,z'
'-x,-y,-z'
'-x,y,-z'
'x,-y,z'
loop_
_atom_site_label
_atom_site_fract_x
_atom_site_fract_y
_atom_site_fract_z
Dy1 0.0000 0.0000 0.0000
Dy2 0.0000 0.5000 0.5000
Th1 0.5000 0.0000 0.5000
Ta1 0.5000 0.5000 0.0000
N1 0.2609 0.5000 0.2243
N2 0.2753 0.0000 0.7803


Entry 16:
# PBE Dy2TaTiN5, optimized geometry
# - raw formation energy (meV/atom) = -1448
# - density (g/cm³) = 9.301
# - raw total energy (eV per atom) = -9.290
data_Dy2TaTiN5
_cell_length_a 3.2697
_cell_length_b 13.2509
_cell_length_c 10.2825
_cell_angle_alpha 90.00
_cell_angle_beta 90.00
_cell_angle_gamma 90.00
_symmetry_space_group_name_H-M 'C m c 21'
_symmetry_Int_Tables_number 36
loop_
_symmetry_equiv_pos_as_xyz
'x,y,z'
'-x,-y,z+1/2'
'-x,y,z'
'x,-y,z+1/2'
'x+1/2,y+1/2,z'
'-x+1/2,-y+1/2,z+1/2'
'-x+1/2,y+1/2,z'
'x+1/2,-y+1/2,z+1/2'
loop_
_atom_site_label
_atom_site_fract_x
_atom_site_fract_y
_atom_site_fract_z
Dy1 0.0000 0.1045 0.0000
Dy2 0.0000 0.1388 0.5999
Ta1 0.0000 0.2190 0.3201
Ti1 0.0000 0.4764 0.7734
N1 0.0000 0.0571 0.3624
N2 0.0000 0.2783 0.9648
N3 0.0000 0.3099 0.6980
N4 0.0000 0.3711 0.3109
N5 0.0000 0.4964 0.0920


Entry 17:
# PBE DyTm2TaN4, optimized geometry
# - raw formation energy (meV/atom) = -1597
# - density (g/cm³) = 11.774
# - raw total energy (eV per atom) = -8.935
data_DyTm2TaN4
_cell_length_a 5.7541
_cell_length_b 3.3152
_cell_length_c 5.7702
_cell_angle_alpha 90.00
_cell_angle_beta 109.14
_cell_angle_gamma 90.00
_symmetry_space_group_name_H-M 'P 1 2/m 1'
_symmetry_Int_Tables_number 10
loop_
_symmetry_equiv_pos_as_xyz
'x,y,z'
'-x,-y,-z'
'-x,y,-z'
'x,-y,z'
loop_
_atom_site_label
_atom_site_fract_x
_atom_site_fract_y
_atom_site_fract_z
Dy1 0.0000 0.0000 0.0000
Tm1 0.5000 0.0000 0.5000
Tm2 0.5000 0.5000 0.0000
Ta1 0.0000 0.5000 0.5000
N1 0.2345 0.0000 0.7308
N2 0.2411 0.5000 0.2664


Entry 18:
# PBE Dy2TmTaN4, optimized geometry
# - raw formation energy (meV/atom) = -1585
# - density (g/cm³) = 11.516
# - raw total energy (eV per atom) = -8.938
data_Dy2TmTaN4
_cell_length_a 5.7789
_cell_length_b 3.3272
_cell_length_c 5.8001
_cell_angle_alpha 90.00
_cell_angle_beta 109.09
_cell_angle_gamma 90.00
_symmetry_space_group_name_H-M 'P 1 2/m 1'
_symmetry_Int_Tables_number 10
loop_
_symmetry_equiv_pos_as_xyz
'x,y,z'
'-x,-y,-z'
'-x,y,-z'
'x,-y,z'
loop_
_atom_site_label
_atom_site_fract_x
_atom_site_fract_y
_atom_site_fract_z
Dy1 0.0000 0.0000 0.0000
Dy2 0.5000 0.5000 0.0000
Tm1 0.0000 0.5000 0.5000
Ta1 0.5000 0.0000 0.5000
N1 0.2612 0.0000 0.7313
N2 0.2701 0.5000 0.2739


Entry 19:
# PBE Dy2YTaN4, optimized geometry
# - raw formation energy (meV/atom) = -1534
# - density (g/cm³) = 10.078
# - raw total energy (eV per atom) = -9.137
data_Dy2YTaN4
_cell_length_a 5.8225
_cell_length_b 3.3471
_cell_length_c 5.8227
_cell_angle_alpha 90.00
_cell_angle_beta 109.08
_cell_angle_gamma 90.00
_symmetry_space_group_name_H-M 'P 1 2/m 1'
_symmetry_Int_Tables_number 10
loop_
_symmetry_equiv_pos_as_xyz
'x,y,z'
'-x,-y,-z'
'-x,y,-z'
'x,-y,z'
loop_
_atom_site_label
_atom_site_fract_x
_atom_site_fract_y
_atom_site_fract_z
Dy1 0.0000 0.0000 0.0000
Dy2 0.5000 0.5000 0.0000
Y1 0.0000 0.5000 0.5000
Ta1 0.5000 0.0000 0.5000
N1 0.2664 0.0000 0.7346
N2 0.2728 0.5000 0.2724


Entry 20:
# PBE Dy3Zr3TaN8, optimized geometry
# - raw formation energy (meV/atom) = -1569
# - density (g/cm³) = 8.503
# - raw total energy (eV per atom) = -9.430
data_Dy3Zr3TaN8
_cell_length_a 6.5531
_cell_length_b 6.5531
_cell_length_c 16.6066
_cell_angle_alpha 90.00
_cell_angle_beta 90.00
_cell_angle_gamma 120.00
_symmetry_space_group_name_H-M 'R -3 m'
_symmetry_Int_Tables_number 166
_symmetry_space_group_name_Hall '-R 3 2"'
loop_
_atom_site_label
_atom_site_fract_x
_atom_site_fract_y
_atom_site_fract_z
Dy1 0.0000 0.5000 0.0000
Zr1 0.0000 0.5000 0.5000
Ta1 0.0000 0.0000 0.5000
N1 0.0000 0.0000 0.2447
N2 0.0200 0.5100 0.2386